Record 1
Be6ZnRh: optimized geometry, PBE.

The space group is Pm-3 (No. 200) and the conventional cell measures 4.2887, 4.2887 and 4.2887 Å, with angles of 90.00, 90.00 and 90.00 degrees. The distinct sites, in fractional coordinates, are Be at (0.0000, 0.2556, 0.5000), Zn at (0.0000, 0.0000, 0.0000) and Rh at (0.5000, 0.5000, 0.5000).

The calculated density is 4.68 g/cm³. The value obtained for the formation energy from the elements is -0.04 eV/atom. For the calculated total energy, the calculation gives -3.909 eV/atom. Its volume is 9.86 Å³/atom.

***

Record 2
TiBi2W: optimized geometry, PBE.

The space group is Fm-3m (No. 225) and the conventional cell measures 6.9407, 6.9407 and 6.9407 Å, with angles of 90.00, 90.00 and 90.00 degrees. The distinct sites, in fractional coordinates, are Ti at (0.0000, 0.0000, 0.0000), Bi at (0.2500, 0.2500, 0.2500) and W at (0.0000, 0.0000, 0.5000).

The calculated density is 12.91 g/cm³. The value obtained for the formation energy from the elements is 0.55 eV/atom. For the calculated total energy, the calculation gives -6.598 eV/atom. Its volume is 20.90 Å³/atom.